# 1
Computed, not measured: LiAl2Ag after structural relaxation at the GGA-PBEsol level of DFT.

Structure (POSCAR):
```
LiAl2Ag
1.0
-1.7213 -3.2323 -2.5446
2.1854 -3.8565 -0.4869
-1.5873 -3.7159 1.8864
Al Ag Li
2 1 1
direct
0.0000 0.0000 0.0000 Al
0.7500 0.7500 0.7500 Al
0.5000 0.5000 0.5000 Ag
0.2500 0.2500 0.2500 Li
```

Summary:
Energy relative to the lowest polymorph listed for this composition: 2.0 kJ per mole of atoms
Energy relative to the elements: -0.5 eV per formula unit
Crystal system: cubic
Total magnetic moment: 0.000 μB/f.u.

=====

# 2
Computed, not measured: KTl2Sb after structural relaxation at the GGA-PBEsol level of DFT.

Structure (POSCAR):
```
KTl2Sb
1.0
-2.6855 2.2719 1.0975
-3.0344 -2.9586 -1.3003
0.1361 -3.1706 6.8964
Sb Tl K
1 2 1
direct
0.5000 0.5000 0.7965 Sb
0.0000 0.0000 0.9924 Tl
0.5000 0.5000 0.2041 Tl
0.0000 0.0000 0.5070 K
```

Summary:
Crystal system: orthorhombic
E_form (uncorrected): -133.5 meV/atom
Total magnetic moment: 0.000 μB/f.u.

=====

# 3
Computed, not measured: CaSb2O4 after structural relaxation at the GGA-PBEsol level of DFT.

Structure (POSCAR):
```
CaSb2O4
1.0
-1.2010 -1.5806 -2.8564
4.9053 0.8042 -4.6254
4.8876 -8.8123 0.7034
Ca Sb O
2 4 8
direct
0.2507 0.2489 0.2496 Ca
0.7493 0.7511 0.7504 Ca
0.6106 0.6799 0.0989 Sb
0.1105 0.1813 0.5976 Sb
0.8895 0.8187 0.4024 Sb
0.3894 0.3201 0.9011 Sb
0.9170 0.3859 0.7801 O
0.4176 0.8836 0.2812 O
0.5824 0.1164 0.7188 O
0.0830 0.6141 0.2199 O
0.2371 0.6261 0.8996 O
0.7377 0.1251 0.3995 O
0.7629 0.3739 0.1004 O
0.2623 0.8749 0.6005 O
```

Summary:
Energy relative to the lowest polymorph listed for this composition: 0.0 kJ per mole of atoms
Crystal system: monoclinic
E_form (uncorrected): -1809.3 meV/atom
Total magnetic moment: 0.000 μB/f.u.

=====

# 4
Computed, not measured: LaY4Tc after structural relaxation at the GGA-PBEsol level of DFT.

Structure (POSCAR):
```
LaY4Tc
1.0
6.1158 0.0000 0.0000
3.0579 5.2965 0.0000
3.0579 1.7655 4.9935
La Tc Y
1 1 4
direct
0.7500 0.7500 0.7500 La
0.0000 0.0000 0.0000 Tc
0.3733 0.3733 0.3733 Y
0.3733 0.3733 0.8801 Y
0.8801 0.3733 0.3733 Y
0.3733 0.8801 0.3733 Y
```

Summary:
Energy relative to the elements: 4.8 eV per formula unit
Crystal system: cubic
Total magnetic moment: 0.003 μB/f.u.

=====

# 5
Computed, not measured: LiZnRh2 after structural relaxation at the GGA-PBEsol level of DFT.

Structure (POSCAR):
```
LiZnRh2
1.0
-1.9486 -0.4640 -1.8128
-0.0823 -3.3185 2.9508
-2.7351 3.0774 2.1524
Zn Rh Li
1 2 1
direct
0.5000 0.0000 0.0000 Zn
0.7556 0.5113 0.7483 Rh
0.2444 0.4887 0.2517 Rh
0.0000 0.0000 0.5000 Li
```

Summary:
Energy relative to the elements: -0.9 eV per formula unit
Crystal system: monoclinic
Total magnetic moment: 0.000 μB/f.u.

=====

# 6
Computed, not measured: CdTc after structural relaxation at the GGA-PBEsol level of DFT.

Structure (POSCAR):
```
CdTc
1.0
3.7863 0.0000 0.0000
1.8932 3.2790 0.0000
1.8932 1.0930 3.0915
Cd Tc
1 1
direct
0.0000 0.0000 0.0000 Cd
0.5000 0.5000 0.5000 Tc
```

Summary:
Energy relative to the lowest polymorph listed for this composition: 117.7 kJ per mole of atoms
Energy relative to the elements: 3.1 eV per formula unit
Crystal system: cubic
Total magnetic moment: 1.599 μB/f.u.

=====

Which formula does entry 5 have? LiZnRh2